# CaGa2HgAu PBE relaxed
# DFT formation energy ... 17.492 kcal/mol of atoms
# N(E_F) ... 5.52 states/eV/cell
data_CaGa2HgAu
_cell_length_a 5.736
_cell_length_b 5.736
_cell_length_c 5.687
_cell_angle_alpha 90.00
_cell_angle_beta 90.00
_cell_angle_gamma 90.00
_space_group_name_H-M_alt 'P 4/m m m'
_space_group_IT_number 123
_space_group_name_Hall '-P 4 2'
loop_
_atom_site_label
_atom_site_type_symbol
_atom_site_fract_x
_atom_site_fract_y
_atom_site_fract_z
Ca1 Ca 0.000 0.000 0.000
Ga1 Ga 0.000 0.500 0.000
Hg1 Hg 0.000 0.000 0.500
Au1 Au 0.500 0.500 0.500

=====

# Ca3GaHg2Au8 PBE relaxed
# DFT formation energy ... -9.584 kcal/mol of atoms
# N(E_F) ... 7.38 states/eV/cell
data_Ca3GaHg2Au8
_cell_length_a 5.6708
_cell_length_b 5.6708
_cell_length_c 10.9882
_cell_angle_alpha 90.00
_cell_angle_beta 90.00
_cell_angle_gamma 120.00
_space_group_name_H-M_alt 'P -3 m 1'
_space_group_IT_number 164
_space_group_name_Hall '-P 3 2"'
loop_
_atom_site_label
_atom_site_type_symbol
_atom_site_fract_x
_atom_site_fract_y
_atom_site_fract_z
Ca1 Ca 0.0000 0.0000 0.0000
Ca2 Ca 0.3333 0.6667 0.5658
Ga1 Ga 0.0000 0.0000 0.5000
Hg1 Hg 0.3333 0.6667 0.0849
Au1 Au 0.1671 0.3342 0.3060
Au2 Au 0.3333 0.6667 0.8361

=====

# CaGa2HgAu5 PBE relaxed
# DFT formation energy ... -6.253 kcal/mol of atoms
# N(E_F) ... 2.90 states/eV/cell
data_CaGa2HgAu5
_cell_length_a 4.911
_cell_length_b 4.911
_cell_length_c 7.833
_cell_angle_alpha 90.00
_cell_angle_beta 90.00
_cell_angle_gamma 90.00
_space_group_name_H-M_alt 'P 4/m m m'
_space_group_IT_number 123
_space_group_name_Hall '-P 4 2'
loop_
_atom_site_label
_atom_site_type_symbol
_atom_site_fract_x
_atom_site_fract_y
_atom_site_fract_z
Ca1 Ca 0.000 0.000 0.000
Ga1 Ga 0.500 0.500 0.342
Hg1 Hg 0.000 0.000 0.500
Au1 Au 0.000 0.500 0.229
Au2 Au 0.500 0.500 0.000

=====

# Ca2HoGa3Au4 PBE relaxed
# DFT formation energy ... -14.227 kcal/mol of atoms
# N(E_F) ... 6.05 states/eV/cell
data_Ca2HoGa3Au4
_cell_length_a 4.409
_cell_length_b 4.409
_cell_length_c 11.589
_cell_angle_alpha 90.00
_cell_angle_beta 90.00
_cell_angle_gamma 90.00
_space_group_name_H-M_alt 'P -4 m 2'
_space_group_IT_number 115
_space_group_name_Hall 'P -4 -2'
loop_
_atom_site_label
_atom_site_type_symbol
_atom_site_fract_x
_atom_site_fract_y
_atom_site_fract_z
Ca1 Ca 0.000 0.500 0.222
Ho1 Ho 0.000 0.000 0.500
Ga1 Ga 0.000 0.500 0.877
Ga2 Ga 0.500 0.500 0.500
Au1 Au 0.000 0.000 0.000
Au2 Au 0.000 0.500 0.659
Au3 Au 0.500 0.500 0.000

=====

# Ca2HoGa3Au12 PBE relaxed
# DFT formation energy ... -6.670 kcal/mol of atoms
# N(E_F) ... 18.35 states/eV/cell
data_Ca2HoGa3Au12
_cell_length_a 6.9132
_cell_length_b 6.9132
_cell_length_c 30.0005
_cell_angle_alpha 90.00
_cell_angle_beta 90.00
_cell_angle_gamma 120.00
_space_group_name_H-M_alt 'R -3 m'
_space_group_IT_number 166
_space_group_name_Hall '-R 3 2"'
loop_
_atom_site_label
_atom_site_type_symbol
_atom_site_fract_x
_atom_site_fract_y
_atom_site_fract_z
Ca1 Ca 0.0000 0.0000 0.1372
Ho1 Ho 0.0000 0.0000 0.5000
Ga1 Ga 0.0000 0.5000 0.0000
Au1 Au 0.0488 0.5244 0.8902
Au2 Au 0.0625 0.5312 0.6216

=====

# CaHoGa2Au2 PBE relaxed
# DFT formation energy ... -17.330 kcal/mol of atoms
# N(E_F) ... 3.30 states/eV/cell
data_CaHoGa2Au2
_cell_length_a 4.5758
_cell_length_b 4.5758
_cell_length_c 7.1467
_cell_angle_alpha 90.00
_cell_angle_beta 90.00
_cell_angle_gamma 120.00
_space_group_name_H-M_alt 'P -3 m 1'
_space_group_IT_number 164
_space_group_name_Hall '-P 3 2"'
loop_
_atom_site_label
_atom_site_type_symbol
_atom_site_fract_x
_atom_site_fract_y
_atom_site_fract_z
Ca1 Ca 0.0000 0.0000 0.0000
Ho1 Ho 0.0000 0.0000 0.5000
Ga1 Ga 0.3333 0.6667 0.7274
Au1 Au 0.3333 0.6667 0.2769

=====

# Ca2InGa3Au4 PBE relaxed
# DFT formation energy ... -12.503 kcal/mol of atoms
# N(E_F) ... 4.06 states/eV/cell
data_Ca2InGa3Au4
_cell_length_a 4.453
_cell_length_b 4.453
_cell_length_c 11.049
_cell_angle_alpha 90.00
_cell_angle_beta 90.00
_cell_angle_gamma 90.00
_space_group_name_H-M_alt 'P -4 m 2'
_space_group_IT_number 115
_space_group_name_Hall 'P -4 -2'
loop_
_atom_site_label
_atom_site_type_symbol
_atom_site_fract_x
_atom_site_fract_y
_atom_site_fract_z
Ca1 Ca 0.000 0.500 0.239
In1 In 0.000 0.000 0.500
Ga1 Ga 0.000 0.500 0.876
Ga2 Ga 0.500 0.500 0.500
Au1 Au 0.000 0.000 0.000
Au2 Au 0.000 0.500 0.649
Au3 Au 0.500 0.500 0.000

=====

# CaInGa2Au5 PBE relaxed
# DFT formation energy ... -7.101 kcal/mol of atoms
# N(E_F) ... 2.88 states/eV/cell
data_CaInGa2Au5
_cell_length_a 4.949
_cell_length_b 4.949
_cell_length_c 7.740
_cell_angle_alpha 90.00
_cell_angle_beta 90.00
_cell_angle_gamma 90.00
_space_group_name_H-M_alt 'P 4/m m m'
_space_group_IT_number 123
_space_group_name_Hall '-P 4 2'
loop_
_atom_site_label
_atom_site_type_symbol
_atom_site_fract_x
_atom_site_fract_y
_atom_site_fract_z
Ca1 Ca 0.000 0.000 0.000
In1 In 0.000 0.000 0.500
Ga1 Ga 0.500 0.500 0.341
Au1 Au 0.000 0.500 0.237
Au2 Au 0.500 0.500 0.000

=====

What is the formula in the eighth record? CaInGa2Au5

=====

Which of these has the highest DFT formation energy? CaGa2HgAu

=====

Number 7 is which compound? Ca2InGa3Au4

=====

The highest N(E_F) belongs to which entry? Ca2HoGa3Au12